No. 1
This record from the Alexandria database describes a geometry-optimized K4CaW3O12 structure. The functional is PBE+U.

```
K4CaW3O12
1.0
-6.907 -1.238 -1.115
3.864 -4.873 -3.437
1.378 -0.363 6.961
K O W Ca
4 12 3 1
direct
0.500 0.000 0.000
0.000 0.500 0.000
0.500 0.500 0.500
0.000 0.000 0.500
0.500 0.250 0.750
0.000 0.726 0.726
0.250 0.500 0.750
0.750 0.250 0.500
0.274 0.000 0.274
0.750 0.500 0.250
0.250 0.750 0.500
0.274 0.274 0.000
0.726 0.000 0.726
0.500 0.750 0.250
0.726 0.726 0.000
0.000 0.274 0.274
0.000 0.500 0.500
0.500 0.000 0.500
0.500 0.500 0.000
0.000 0.000 0.000
```

Results
Its crystal system is cubic.



No. 2
This record from the Alexandria database describes a geometry-optimized K3CaW2O8 structure. The functional is PBE+U.

```
K3CaW2O8
1.0
-3.995 -3.733 2.901
0.400 -0.096 -6.176
5.474 -5.517 0.441
O W K Ca
8 2 3 1
direct
0.653 0.827 0.314
0.333 0.667 0.989
0.827 0.653 0.686
0.667 0.333 0.011
0.173 0.347 0.314
0.173 0.827 0.314
0.347 0.173 0.686
0.827 0.173 0.686
0.333 0.667 0.222
0.667 0.333 0.778
0.000 0.000 0.000
0.667 0.333 0.337
0.333 0.667 0.663
0.000 0.000 0.500
```

Results
Its crystal system is trigonal.



No. 3
This record from the Alexandria database describes a geometry-optimized K3CaW2O9 structure. The functional is PBE+U.

```
K3CaW2O9
1.0
5.857 0.000 0.000
-2.929 5.073 0.000
0.000 0.000 7.323
O W K Ca
9 2 3 1
direct
0.179 0.358 0.305
0.500 0.000 0.000
0.500 0.500 0.000
0.000 0.500 0.000
0.642 0.821 0.305
0.821 0.179 0.695
0.821 0.642 0.695
0.358 0.179 0.695
0.179 0.821 0.305
0.333 0.667 0.166
0.667 0.333 0.834
0.000 0.000 0.000
0.667 0.333 0.333
0.333 0.667 0.667
0.000 0.000 0.500
```

Results
Its crystal system is trigonal.



No. 4
This record from the Alexandria database describes a geometry-optimized KCaWO4 structure. The functional is PBE+U.

```
KCaWO4
1.0
-4.444 2.973 -3.362
-2.209 -3.737 4.588
0.221 5.702 4.750
Ca O W K
2 8 2 2
direct
0.848 0.152 0.250
0.152 0.848 0.750
0.235 0.765 0.035
0.215 0.183 0.250
0.765 0.235 0.965
0.785 0.817 0.750
0.765 0.235 0.535
0.817 0.785 0.250
0.235 0.765 0.465
0.183 0.215 0.750
0.855 0.145 0.750
0.145 0.855 0.250
0.500 0.500 0.500
0.500 0.500 0.000
```

Results
Its crystal system is orthorhombic.



Number 1: calculated total energy -0.4780 Ry per atom. Number 2: calculated total energy -0.4637 Ry per atom. Number 3: calculated total energy -0.4698 Ry per atom. Number 4: calculated total energy -0.4739 Ry per atom.